[1]
VASP calculation (GGA-PBEsol) on a relaxed structure of CaBiBr2.

a = 7.5757 Å, b = 7.5757 Å, c = 7.5757 Å
α = 90.00°, β = 90.00°, γ = 90.00°
Fractional positions:
Ca (0.0000, 0.0000, 0.0000)
Ca (0.0000, 0.5000, 0.5000)
Ca (0.5000, 0.0000, 0.5000)
Ca (0.5000, 0.5000, 0.0000)
Bi (0.0000, 0.0000, 0.5000)
Bi (0.0000, 0.5000, 0.0000)
Bi (0.5000, 0.0000, 0.0000)
Bi (0.5000, 0.5000, 0.5000)
Br (0.2500, 0.2500, 0.2500)
Br (0.2500, 0.2500, 0.7500)
Br (0.2500, 0.7500, 0.2500)
Br (0.2500, 0.7500, 0.7500)
Br (0.7500, 0.2500, 0.2500)
Br (0.7500, 0.2500, 0.7500)
Br (0.7500, 0.7500, 0.2500)
Br (0.7500, 0.7500, 0.7500)

=====

[2]
VASP calculation (GGA-PBEsol) on a relaxed structure of CaBi2Br2.

a = 7.3007 Å, b = 7.3007 Å, c = 5.6842 Å
α = 90.00°, β = 90.00°, γ = 90.00°
Fractional positions:
Ca (0.0000, 0.0000, 0.0000)
Ca (0.5000, 0.5000, 0.0000)
Bi (0.1520, 0.3480, 0.5000)
Bi (0.3480, 0.8480, 0.5000)
Bi (0.6520, 0.1520, 0.5000)
Bi (0.8480, 0.6520, 0.5000)
Br (0.1641, 0.6641, 0.0000)
Br (0.3359, 0.1641, 0.0000)
Br (0.6641, 0.8359, 0.0000)
Br (0.8359, 0.3359, 0.0000)

=====

[3]
VASP calculation (GGA-PBEsol) on a relaxed structure of Ca2CoBiBr.

a = 5.9772 Å, b = 5.9772 Å, c = 5.7551 Å
α = 90.00°, β = 90.00°, γ = 90.00°
Fractional positions:
Ca (0.0000, 0.5000, 0.0000)
Ca (0.5000, 0.0000, 0.0000)
Co (0.0000, 0.0000, 0.5000)
Bi (0.5000, 0.5000, 0.0000)
Br (0.5000, 0.5000, 0.5000)

=====

[4]
VASP calculation (GGA-PBEsol) on a relaxed structure of CdBiBrO2.

a = 3.9047 Å, b = 3.9047 Å, c = 12.3049 Å
α = 90.00°, β = 90.00°, γ = 90.00°
Fractional positions:
Cd (0.0000, 0.0000, 0.0000)
Cd (0.5000, 0.5000, 0.5000)
Bi (0.0000, 0.0000, 0.6801)
Bi (0.5000, 0.5000, 0.1801)
Br (0.0000, 0.0000, 0.3595)
Br (0.5000, 0.5000, 0.8595)
O (0.0000, 0.5000, 0.0926)
O (0.0000, 0.5000, 0.5926)
O (0.5000, 0.0000, 0.0926)
O (0.5000, 0.0000, 0.5926)

=====

[5]
VASP calculation (GGA-PBEsol) on a relaxed structure of Cd2ReBiBr.

a = 5.6895 Å, b = 5.6895 Å, c = 5.2621 Å
α = 90.00°, β = 90.00°, γ = 90.00°
Fractional positions:
Cd (0.0000, 0.5000, 0.0000)
Cd (0.5000, 0.0000, 0.0000)
Re (0.0000, 0.0000, 0.5000)
Bi (0.0000, 0.0000, 0.0000)
Br (0.5000, 0.5000, 0.5000)

=====

[6]
VASP calculation (GGA-PBEsol) on a relaxed structure of ZnCd2BiBr.

a = 5.8420 Å, b = 5.8420 Å, c = 5.7405 Å
α = 90.00°, β = 90.00°, γ = 90.00°
Fractional positions:
Zn (0.0000, 0.0000, 0.0000)
Cd (0.0000, 0.5000, 0.5000)
Cd (0.5000, 0.0000, 0.5000)
Bi (0.5000, 0.5000, 0.5000)
Br (0.5000, 0.5000, 0.0000)

=====

| no. | volume (Å³/f.u.) | formation energy without anion corrections (eV per atom) |
| --- | --- | --- |
| 1 | 108.7 | -0.71 |
| 2 | 151.5 | -0.58 |
| 3 | 205.6 | 0.54 |
| 4 | 93.8 | -1.06 |
| 5 | 170.3 | 1.33 |
| 6 | 195.9 | 0.36 |